This record from Alexandria describes SmEr2PaSe4 after structural relaxation. The functional is PBE-GGA.

abc: 7.012 4.015 7.186
angles: 90.00 108.63 90.00
Element x y z (fractional)
Sm (0.000, 0.000, 0.000)
Er (0.000, 0.500, 0.500)
Er (0.500, 0.000, 0.500)
Pa (0.500, 0.500, 0.000)
Se (0.249, 0.000, 0.740)
Se (0.256, 0.500, 0.261)
Se (0.744, 0.500, 0.739)
Se (0.751, 0.000, 0.260)

Calculated values
Magnetization: 0.74 Bohr magnetons per cell
Uncorrected energy: -0.2296 Ha/atom
Formation energy (no corrections): -1.587 eV/atom